Compound: PuTlWO6
Source: Alexandria
Functional: PBE+U
Structure: optimized geometry

## Properties
Raw total energy in eV/atom: -8.053
Magnetization in μB/cell: 6.000

Cell: 7.491 7.722 7.666 Å, 120.24 119.25 90.00°
Atoms (fractional coordinates):
O 0.799 0.049 0.599
O 0.430 0.060 0.261
O 0.578 0.328 0.156
O 0.831 0.700 0.261
O 0.831 0.060 0.261
O 0.570 0.300 0.739
O 0.201 0.951 0.401
O 0.169 0.940 0.739
O 0.422 0.672 0.844
O 0.430 0.700 0.261
O 0.169 0.300 0.739
O 0.570 0.940 0.739
Pu 0.500 0.000 0.000
Pu 0.500 0.500 0.000
W 0.000 0.000 0.500
W 0.500 0.000 0.500
Tl 0.841 0.591 0.681
Tl 0.159 0.409 0.319